VASP calculation (GGA-PBE) on a relaxed SrGa2Ge2 crystal.

Results
Crystal system   tetragonal
M_tot   0.00 μB per formula unit
Symmetry   P4/mbm, No. 127
ΔH_f (0 K)   -69 kJ/mol of formula units
Density of states at the Fermi level   0.36 states/eV/atom

a b c (Å): 8.0024 8.0024 3.4297
angles (deg): 90.00 90.00 90.00
Last column: nearest neighbours and their distance in Å.
Element x y z (fractional)
Ge 0.6621 0.8379 0.5000  6 Ga 2.87-2.98
Ge 0.8379 0.3379 0.5000  6 Ga 2.87-2.98
Ge 0.1621 0.6621 0.5000  6 Ga 2.87-2.98
Sr 0.5000 0.5000 0.0000  4 Ga 3.17, 2 Sr 3.43, 8 Ge 3.45
Ga 0.3773 0.8773 0.0000  1 Ga 2.78, 6 Ge 2.87-2.98
Ge 0.3379 0.1621 0.5000  6 Ga 2.87-2.98
Ga 0.1227 0.3773 0.0000  1 Ga 2.78, 6 Ge 2.87-2.98
Sr 0.0000 0.0000 0.0000  4 Ga 3.17, 2 Sr 3.43, 8 Ge 3.45
Ga 0.6227 0.1227 0.0000  1 Ga 2.78, 6 Ge 2.87-2.98
Ga 0.8773 0.6227 0.0000  1 Ga 2.78, 6 Ge 2.87-2.98